No. 1
4
Lattice="-0.515 -0.600 5.275 -3.162 -2.324 -0.573 2.363 -3.182 -0.132" Properties=species:S:1:pos:R:3 comment="KYMo2 | Alexandria | GGA-PBE | relaxed" total_energy_ev_per_cell=-24.2 delta_e_f_ev_per_atom=1.25 e_above_lowest_polymorph_mev_per_atom=716 magnetic_moment_mub_per_cell=0.0 dos_at_fermi_per_ev_atom=0.764 pbc="T T T"
K 0.924 -1.891 2.572
Mo 0.000 0.000 0.000
Mo -0.400 -2.753 -0.352
Y -1.838 -1.462 2.351

No. 2
15
Lattice="6.590 -0.190 0.674 -1.074 8.889 0.344 0.360 -3.937 8.041" Properties=species:S:1:pos:R:3 comment="Tb13Y2 | Alexandria | GGA-PBE | relaxed" total_energy_ev_per_cell=-72.1 delta_e_f_ev_per_atom=0.07 magnetic_moment_mub_per_cell=0.0 dos_at_fermi_per_ev_atom=1.704 pbc="T T T"
Tb 3.988 5.354 0.879
Tb 1.888 -0.592 8.180
Tb 0.000 0.000 0.000
Tb 2.235 -2.189 5.378
Tb 3.641 6.951 3.681
Tb 0.361 1.958 6.355
Tb 5.515 2.804 2.704
Tb 2.125 3.679 3.701
Tb 3.751 1.084 5.358
Tb 2.645 4.009 7.337
Tb 3.231 0.753 1.722
Tb 5.363 -1.517 7.043
Tb 0.512 6.279 2.016
Y 5.334 4.479 5.501
Y 0.541 0.283 3.558